(1)
8
Lattice="6.771 0.000 0.000 0.000 3.862 0.000 -2.194 0.000 6.689" Properties=species:S:1:pos:R:3 comment="YZrSi2, relaxed, DFT PBE" e_form_raw_ev_per_atom=-0.607 dos_at_fermi_per_ev_cell=4.71 e_above_lowest_polymorph_mev_per_atom=230.4 pbc="T T T"
Y 0.000 0.000 0.000
Y 3.386 1.931 0.000
Zr -1.097 1.931 3.344
Zr 2.289 0.000 3.344
Si 0.046 0.000 4.881
Si 1.146 1.931 1.808
Si 3.432 1.931 4.881
Si 4.532 0.000 1.808

(2)
4
Lattice="3.663 0.000 0.000 0.000 3.663 0.000 0.000 0.000 4.772" Properties=species:S:1:pos:R:3 comment="Pu2AlSi, relaxed, DFT PBE" e_form_raw_ev_per_atom=0.073 dos_at_fermi_per_ev_cell=9.19 pbc="T T T"
Pu 0.000 1.832 0.000
Pu 1.832 0.000 0.000
Al 0.000 0.000 2.386
Si 1.832 1.832 2.386

(3)
8
Lattice="6.515 0.000 0.000 0.000 3.712 0.000 -2.538 0.000 6.416" Properties=species:S:1:pos:R:3 comment="Li2TiPbS4, relaxed, DFT PBE" e_form_raw_ev_per_atom=-1.038 dos_at_fermi_per_ev_cell=0.97 pbc="T T T"
Li 0.000 0.000 0.000
Li -1.269 1.856 3.208
Ti 1.988 0.000 3.208
Pb 3.257 1.856 0.000
S -0.096 0.000 4.454
S 1.011 1.856 1.763
S 2.965 1.856 4.653
S 4.073 0.000 1.962

(4)
14
Lattice="4.311 0.000 0.000 0.000 4.311 0.000 0.000 0.000 12.159" Properties=species:S:1:pos:R:3 comment="TiAl2Ni4, relaxed, DFT PBE" formation_energy_ev_per_atom=0.4900 dos_at_fermi_per_ev_cell=9.77 pbc="T T T"
Ti 0.000 0.000 0.000
Ti 2.155 2.155 6.080
Al 0.000 0.000 4.668
Al 0.000 0.000 7.492
Al 2.155 2.155 1.412
Al 2.155 2.155 10.747
Ni 0.000 0.000 2.270
Ni 0.000 0.000 9.889
Ni 0.000 2.155 0.000
Ni 0.000 2.155 6.080
Ni 2.155 0.000 0.000
Ni 2.155 0.000 6.080
Ni 2.155 2.155 3.809
Ni 2.155 2.155 8.350